4
Lattice="-0.0229 1.2214 2.6508 0.9431 -2.7418 -0.3354 6.8028 2.4720 -1.0804" Properties=species:S:1:pos:R:3 comment="GaSiNiOs PBE relaxed" volume_a3_per_fu=54 crystal_system=trigonal dos_at_fermi_per_ev_cell=0.52 e_above_lowest_polymorph_mev_per_atom=6 magmom_total_mub_per_cell=0.0 e_form_raw_kj_per_mol_atoms=-25.2 pbc="T T T"
Ni 0.5163 -0.0207 1.6209
Si 2.3495 -0.7926 0.3855
Os 3.6595 1.1215 1.1217
Ga 5.8796 0.4901 -0.1752